Model w:
LaThSe3, relaxed, DFT PBE; total moment = 0.15 μB per atom; space-group type = Cmc2_1 (36)
1.0
4.364 0.000 0.000
0.000 7.587 0.000
-2.182 0.000 10.386
Se Th La
6 2 2
Cartesian
0.000 6.372 8.478
2.182 2.346 8.555
0.000 1.212 5.190
2.182 5.005 5.196
2.182 2.578 1.908
0.000 6.139 1.831
2.182 7.551 7.022
0.000 3.758 3.364
0.000 3.717 7.154
2.182 7.510 3.232

Model x:
LaThSe3, relaxed, DFT PBE; total moment = 0.00 μB per atom; space-group type = Pnma (62)
1.0
4.223 0.000 0.000
0.000 7.921 0.000
0.000 0.000 16.429
La Se Th
4 12 4
Cartesian
1.056 4.835 4.856
3.168 7.047 13.071
3.168 3.087 11.573
1.056 0.874 3.358
1.056 6.907 15.303
1.056 1.334 12.823
3.168 4.975 7.088
3.168 7.868 9.880
3.168 6.587 3.606
1.056 4.015 1.665
3.168 2.626 4.609
1.056 0.054 6.550
3.168 3.907 14.764
1.056 2.946 9.342
3.168 1.015 1.127
1.056 5.295 11.821
3.168 1.941 7.511
3.168 5.902 0.704
1.056 5.980 8.919
1.056 2.019 15.725

Here are the energies relative to the best structure, in kJ/mol of atoms: model w 17.9; model x 0.0.

Model w:
La2Th3Se8, relaxed, DFT PBE; total moment = 0.00 μB per atom; space-group type = C2/m (12)
1.0
-0.638 -3.005 6.344
8.387 1.127 1.378
-5.319 6.878 0.080
Se Th La
8 3 2
Cartesian
5.872 1.451 3.895
-0.859 -0.989 6.035
-0.930 5.521 1.146
1.005 4.146 4.637
3.288 5.988 1.766
-3.442 3.549 3.907
1.424 0.853 3.164
3.359 -0.522 6.656
6.267 0.842 1.030
-0.319 -1.503 3.172
2.119 0.285 0.348
-0.799 2.846 2.536
3.228 2.153 5.266

Model x:
La2Th3Se8, relaxed, DFT PBE; total moment = 0.12 μB per atom; space-group type = Cmmm (65)
1.0
5.080 0.000 0.000
0.000 8.815 -5.063
0.000 -0.797 8.812
Th Se La
3 8 2
Cartesian
0.000 5.653 5.108
2.540 0.000 0.000
0.000 2.365 -1.358
0.000 5.298 -0.980
2.540 0.456 6.073
0.000 7.179 2.289
5.080 0.839 1.460
2.540 5.018 3.453
2.540 7.562 -2.323
5.080 2.719 4.730
2.540 2.999 0.297
2.540 1.920 3.344
2.540 6.097 0.406

Here are the energies relative to the best structure, in kJ/mol of atoms: model w 4.5; model x 0.0.

Model w:
La2ZrTiSe, relaxed, DFT PBE; total moment = 0.06 μB per atom; space-group type = P4/mmm (123)
1.0
5.687 0.000 0.000
0.000 4.711 0.000
0.000 0.000 5.687
La Ti Se Zr
2 1 1 1
Cartesian
2.843 0.000 0.000
0.000 0.000 2.843
0.000 2.355 0.000
0.000 0.000 0.000
2.843 2.355 2.843

Model x:
La2ZrTiSe, relaxed, DFT PBE; total moment = 0.61 μB per atom; space-group type = P4/mmm (123)
1.0
-4.912 3.019 0.652
-2.611 -4.327 0.357
0.770 0.009 5.751
Ti Se La Zr
1 1 2 1
Cartesian
-3.377 -0.649 3.380
-1.306 -2.163 0.178
-2.456 1.509 0.326
0.385 0.005 2.876
0.000 0.000 0.000

Here are the energies relative to the best structure, in kJ/mol of atoms: model w 0.0; model x 60.6.

Model w:
LaTlSe, relaxed, DFT PBE; total moment = 0.00 μB per atom; space-group type = P3m1 (156)
1.0
5.021 0.000 0.000
-2.510 4.348 0.000
0.000 0.000 4.500
Se La Tl
1 1 1
Cartesian
2.510 1.449 0.753
0.000 0.000 0.747
0.000 2.899 3.000

Model x:
LaTlSe, relaxed, DFT PBE; total moment = 0.00 μB per atom; space-group type = R-3m (166)
1.0
5.005 0.000 0.000
2.502 4.334 0.000
2.502 1.445 8.747
Tl Se La
2 2 2
Cartesian
2.502 1.445 4.831
7.507 4.334 3.916
7.507 4.334 7.598
2.502 1.445 1.148
5.005 2.889 1.893
5.005 2.889 6.854

Here are the energies relative to the best structure, in kJ/mol of atoms: model w 30.3; model x 0.0.

Model w:
LaTlSe, relaxed, DFT PBE; total moment = 0.00 μB per atom; space-group type = F-43m (216)
1.0
-2.482 4.267 -1.255
-4.309 1.243 2.414
-0.068 3.947 3.219
Tl Se La
1 1 1
Cartesian
0.000 0.000 0.000
-1.715 2.364 1.095
-3.429 4.729 2.189

Model x:
LaTlSe, relaxed, DFT PBE; total moment = 0.00 μB per atom; space-group type = I4mm (107)
1.0
-5.122 -3.886 -1.407
-1.730 -5.614 -2.968
-0.193 -2.957 2.854
Se La Tl
1 1 1
Cartesian
-2.839 -5.556 -0.018
-6.520 -9.173 -4.015
-4.538 -7.226 -1.864

Model y:
LaTlSe, relaxed, DFT PBE; total moment = 0.00 μB per atom; space-group type = F-43m (216)
1.0
-2.634 -0.619 4.432
-3.408 -3.889 0.474
1.062 -4.019 3.112
Se La Tl
1 1 1
Cartesian
0.000 0.000 0.000
-1.245 -2.132 2.005
-2.490 -4.263 4.009

Here are the energies relative to the best structure, in kJ/mol of atoms: model w 13.2; model x 0.0; model y 35.6.

Model w:
La2TlSe, relaxed, DFT PBE; total moment = 0.00 μB per atom; space-group type = Amm2 (38)
1.0
6.400 0.013 -0.003
5.173 3.768 -0.003
0.003 0.001 5.095
La Tl Se
2 1 1
Cartesian
11.568 3.779 0.632
8.637 2.822 3.179
3.028 0.989 0.634
5.704 1.863 3.183

Model x:
La2TlSe, relaxed, DFT PBE; total moment = 0.00 μB per atom; space-group type = P4/mmm (123)
1.0
-0.715 -4.327 -0.935
1.689 0.610 -4.113
5.827 -1.434 2.180
La Tl Se
2 1 1
Cartesian
2.671 -2.396 -1.707
5.100 -1.255 1.908
5.584 -3.113 -0.617
2.186 -0.538 0.818

Model y:
La2TlSe, relaxed, DFT PBE; total moment = 0.00 μB per atom; space-group type = I-42d (122)
1.0
6.800 0.000 0.000
0.000 6.800 0.000
3.400 3.400 7.377
Tl La Se
2 4 2
Cartesian
0.000 0.000 0.000
6.800 3.400 3.689
1.887 5.100 1.844
5.100 5.287 5.533
4.914 1.700 1.844
8.501 8.314 5.533
3.400 6.800 3.689
3.400 3.400 0.000

Here are the energies relative to the best structure, in kJ/mol of atoms: model w 10.4; model x 0.0; model y 45.7.